Here is a crystal of Cr2AsOs relaxed with PBEsol from the Alexandria database. Energies are from SCAN.

Geometry as POSCAR:
```
Cr2AsOs
1.0
-1.784 1.784 3.977
1.784 -1.784 3.977
1.784 1.784 -3.977
Cr As Os
2 1 1
Direct
0.250 0.750 0.500
0.750 0.250 0.500
0.000 0.000 0.000
0.500 0.500 0.000
```

Computed properties:
Its formation enthalpy at 0 K is 193.6 meV per atom. The density of states at the Fermi level comes out at 0.9262 states/eV/atom. The value obtained for the density is 12.1 g/cm3. As for the spin magnetization: 0.00 Bohr magnetons per cell. As for the total energy: -32.016 eV per atom.